#w
TlMoSeN2 | PBE | optimized geometry

Cell and atoms, written as extended XYZ:
```
5
Lattice="4.1887 0.0000 0.0000 0.0000 4.1887 0.0000 0.0000 0.0000 5.9108" Properties=species:S:1:pos:R:3 pbc="T T T"
Mo 2.0944 2.0944 2.9554
N 2.0944 0.0000 0.0000
N 0.0000 2.0944 0.0000
Se 0.0000 0.0000 2.9554
Tl 0.0000 0.0000 0.0000
```

## Properties
SG: P4/mmm (123)
Theoretical density, g/cm³: 6.522


#x
TlMoSeN2 | PBE | optimized geometry

Cell and atoms, written as extended XYZ:
```
5
Lattice="-0.7566 -2.2490 3.2210 -0.9190 -3.0879 -2.3719 5.1067 -1.5891 0.0901" Properties=species:S:1:pos:R:3 pbc="T T T"
Tl 1.7155 -3.4630 0.4696
N -0.4595 -1.5439 -1.1859
N -0.3783 -1.1245 1.6105
Mo 0.0000 0.0000 0.0000
Se 2.5533 -0.7945 0.0450
```

## Properties
SG: P4/mmm (123)
Theoretical density, g/cm³: 7.900


The structure with the least stability is #w.